(1)
VASP calculation (GGA-PBE) on a relaxed CdPd2O2 crystal.

Calculated values
uncorrected energy	-4.27	eV per atom
crystal system	tetragonal
distance to the lowest polymorph of the same formula	0.0000	eV/atom
ΔE_f (raw)	-24	meV per atom

CIF file:
```
data_CdPd2O2
_symmetry_space_group_name_H-M 'P 4/m b m'
_symmetry_Int_Tables_number 127
_symmetry_space_group_name_Hall '-P 4 2ab'
_cell_length_a 6.766
_cell_length_b 6.766
_cell_length_c 3.160
_cell_angle_alpha 90.00
_cell_angle_beta 90.00
_cell_angle_gamma 90.00
loop_
_atom_site_label
_atom_site_type_symbol
_atom_site_fract_x
_atom_site_fract_y
_atom_site_fract_z
_atom_site_occupancy
Cd1 Cd 0.000 0.000 0.000 1
Pd1 Pd 0.137 0.363 0.500 1
O1 O 0.221 0.721 0.000 1
```

***

(2)
VASP calculation (GGA-PBE) on a relaxed Hf2Zr2Al4Zn crystal.

Calculated values
uncorrected energy	-5.96	eV per atom
crystal system	tetragonal

CIF file:
```
data_Hf2Zr2Al4Zn
_symmetry_space_group_name_H-M 'I 4/m m m'
_symmetry_Int_Tables_number 139
_symmetry_space_group_name_Hall '-I 4 2'
_cell_length_a 6.122
_cell_length_b 6.122
_cell_length_c 9.361
_cell_angle_alpha 90.00
_cell_angle_beta 90.00
_cell_angle_gamma 90.00
loop_
_atom_site_label
_atom_site_type_symbol
_atom_site_fract_x
_atom_site_fract_y
_atom_site_fract_z
_atom_site_occupancy
Hf1 Hf 0.000 0.500 0.250 1
Zr1 Zr 0.000 0.000 0.229 1
Al1 Al 0.224 0.224 0.000 1
Zn1 Zn 0.000 0.000 0.500 1
```

***

(3)
VASP calculation (GGA-PBE) on a relaxed Tm5HfZn6 crystal.

Calculated values
uncorrected energy	-3.63	eV per atom
crystal system	monoclinic

CIF file:
```
data_Tm5HfZn6
_symmetry_space_group_name_H-M 'C 1 2/m 1'
_symmetry_Int_Tables_number 12
_symmetry_space_group_name_Hall '-C 2y'
_cell_length_a 15.572
_cell_length_b 6.968
_cell_length_c 4.908
_cell_angle_alpha 90.00
_cell_angle_beta 108.31
_cell_angle_gamma 90.00
loop_
_atom_site_label
_atom_site_type_symbol
_atom_site_fract_x
_atom_site_fract_y
_atom_site_fract_z
_atom_site_occupancy
Tm1 Tm 0.000 0.000 0.000 1
Tm2 Tm 0.164 0.000 0.664 1
Tm3 Tm 0.172 0.500 0.672 1
Hf1 Hf 0.000 0.500 0.000 1
Zn1 Zn 0.000 0.272 0.500 1
Zn2 Zn 0.161 0.262 0.160 1
```